16
Lattice="8.0436 0.0000 0.0000 -4.0218 6.9659 0.0000 0.0000 0.0000 5.1571" Properties=species:S:1:pos:R:3 comment="Li2Mg3Au3 GGA-PBE relaxed" formation_energy_ev_per_atom=-0.53 n_ef_per_ev_atom=0.3551 energy_ev_per_atom=-2.84 e_above_lowest_polymorph_ev_per_atom=0.0000 pbc="T T T"
Li 0.0000 4.6440 0.0000
Li 0.0000 4.6440 2.5786
Li 4.0218 2.3220 0.0000
Li 4.0218 2.3220 2.5786
Mg -1.0174 1.7622 1.2893
Mg -3.0044 5.2038 3.8679
Mg 2.0348 0.0000 1.2893
Mg 1.0174 1.7622 3.8679
Mg 6.0088 0.0000 3.8679
Mg 3.0044 5.2038 1.2893
Au -1.5857 2.7465 3.8679
Au -2.4361 4.2195 1.2893
Au 3.1713 0.0000 3.8679
Au 1.5857 2.7465 1.2893
Au 4.8722 0.0000 1.2893
Au 2.4361 4.2195 3.8679